#a
HfCoAsO after structural relaxation. Source: the Open Quantum Materials Database, functional PBE+U.

Geometry as POSCAR:
```
HfCoAsO
1.0
4.215 0.000 0.000
0.000 4.215 0.000
0.000 0.000 9.027
Hf O As Co
2 2 2 2
Cartesian
3.162 1.054 4.513
1.054 3.162 4.513
1.054 3.162 0.000
3.162 1.054 0.000
1.054 1.054 6.084
3.162 3.162 2.943
1.054 1.054 8.996
3.162 3.162 0.031
```

As for the theoretical density: 6.80 Mg/m³. The symmetry is P4/nmm (129). The crystal system is tetragonal.

***

#b
HfCoAsO after structural relaxation. Source: the Open Quantum Materials Database, functional PBE+U.

Geometry as POSCAR:
```
HfCoAsO
1.0
3.623 0.000 0.000
0.000 3.623 0.000
0.000 0.000 8.444
As O Co Hf
2 2 2 2
Cartesian
2.717 2.717 2.552
0.906 0.906 5.892
2.717 0.906 0.000
0.906 2.717 0.000
2.717 0.906 4.222
0.906 2.717 4.222
0.906 0.906 1.210
2.717 2.717 7.234
```

As for the theoretical density: 9.84 Mg/m³. The symmetry is P4/nmm (129). The crystal system is tetragonal.

***

Most stable of them? #b.

***

#a
HfCoAsO after structural relaxation. Source: the Open Quantum Materials Database, functional PBE+U.

Geometry as POSCAR:
```
HfCoAsO
1.0
3.571 0.000 0.000
0.000 5.959 0.000
0.000 0.000 6.211
O As Co Hf
2 2 2 2
Cartesian
1.785 1.376 5.242
1.785 4.583 2.137
0.000 1.472 2.174
0.000 4.487 5.280
0.000 2.136 5.984
0.000 3.823 2.879
1.785 5.945 3.705
1.785 0.014 0.599
```

As for the theoretical density: 8.25 Mg/m³. The symmetry is Pmc2_1 (26). The crystal system is orthorhombic.

***

#b
HfCoAsO after structural relaxation. Source: the Open Quantum Materials Database, functional PBE+U.

Geometry as POSCAR:
```
HfCoAsO
1.0
4.169 0.000 0.000
0.000 5.511 0.000
0.000 0.000 5.510
Co As Hf O
2 2 2 2
Cartesian
2.085 2.072 0.258
2.085 3.440 3.013
0.000 4.257 2.191
0.000 1.255 4.946
0.000 3.993 4.942
0.000 1.518 2.187
2.085 4.043 5.029
2.085 1.469 2.274
```

As for the theoretical density: 8.61 Mg/m³. The symmetry is Pmc2_1 (26). The crystal system is orthorhombic.

***

Most stable of them? #b.